[1]
DFT (GGA-PBE) results for a geometry-optimized Er2MgTe structure.

The space group is P4/mmm (No. 123) and the conventional cell measures 3.871, 3.871 and 6.979 Å, with angles of 90.00, 90.00 and 90.00 degrees. The distinct sites, in fractional coordinates, are Er at (0.000, 0.000, 0.249), Mg at (0.500, 0.500, 0.500) and Te at (0.500, 0.500, 0.000).

The value obtained for the relative energy among the computed polymorphs is 0.000 eV/atom.

[2]
DFT (GGA-PBE) results for a geometry-optimized Er2MgTe structure.

The space group is R3m (No. 160, hexagonal axes) and the conventional cell measures 3.9157, 3.9157 and 26.9858 Å, with angles of 90.00, 90.00 and 120.00 degrees. The distinct sites, in fractional coordinates, are Er at (0.0000, 0.0000, 0.0000), Er at (0.0000, 0.0000, 0.1829), Mg at (0.0000, 0.0000, 0.7583) and Te at (0.0000, 0.0000, 0.5909).

The value obtained for the relative energy among the computed polymorphs is 0.091 eV/atom.

[3]
DFT (GGA-PBE) results for a geometry-optimized ErMgTe3 structure.

The space group is P2_1/m (No. 11) and the conventional cell measures 6.561, 4.470 and 12.489 Å, with angles of 90.00, 102.82 and 90.00 degrees. The distinct sites, in fractional coordinates, are Er at (0.012, 0.250, 0.338), Mg at (0.495, 0.250, 0.885), Te at (0.239, 0.250, 0.581), Te at (0.241, 0.750, 0.898) and Te at (0.285, 0.750, 0.282).

no.,Fermi-level density of states (states/eV/f.u.),calculated total energy (eV/atom)
1,3.7,-4.02
2,4.3,-3.93
3,1.8,-4.02